1.
This record from Alexandria describes a relaxed structure of CaY2IrO8. The functional is PBE.

POSCAR file:
```
CaY2IrO8
1.0
-3.993 2.316 2.040
-1.442 -4.379 2.021
3.698 1.393 5.657
Ca O Ir Y
1 8 1 2
direct
0.000 0.000 0.500
0.313 0.309 0.500
0.818 0.185 0.802
0.818 0.185 0.198
0.182 0.815 0.802
0.728 0.732 0.000
0.182 0.815 0.198
0.687 0.691 0.500
0.272 0.268 0.000
0.000 0.000 0.000
0.500 0.500 0.744
0.500 0.500 0.256
```

Summary:
Energy relative to the elements, uncorrected (eV/atom): -2.08
Total moment (μB per formula unit): 0.91
ρ (g cm⁻³): 5.10
D(E_F) (states/eV/atom): 0.358


2.
This record from Alexandria describes a relaxed structure of CaZnIrO6. The functional is PBE.

POSCAR file:
```
CaZnIrO6
1.0
-1.508 -1.999 -4.626
4.816 -1.012 1.858
-3.479 -8.070 4.621
O Zn Ir Ca
12 2 2 2
direct
0.376 0.026 0.143
0.624 0.974 0.857
0.650 0.624 0.143
0.026 0.650 0.857
0.376 0.350 0.357
0.974 0.624 0.357
0.350 0.974 0.643
0.650 0.026 0.357
0.624 0.650 0.643
0.026 0.376 0.643
0.350 0.376 0.857
0.974 0.350 0.143
0.333 0.667 0.250
0.667 0.333 0.750
0.333 0.667 0.750
0.667 0.333 0.250
0.000 0.000 0.000
0.000 0.000 0.500
```

Summary:
Energy relative to the elements, uncorrected (eV/atom): -1.18
Total moment (μB per formula unit): 0.00
ρ (g cm⁻³): 5.50
D(E_F) (states/eV/atom): 0.453


3.
This record from Alexandria describes a relaxed structure of CaZr2IrO8. The functional is PBE.

POSCAR file:
```
CaZr2IrO8
1.0
4.898 0.014 -0.003
0.044 4.893 -0.005
0.004 0.007 6.617
O Zr Ir Ca
8 2 1 1
direct
0.319 0.317 0.500
0.802 0.199 0.208
0.198 0.801 0.208
0.714 0.715 0.000
0.802 0.199 0.792
0.681 0.683 0.500
0.198 0.801 0.792
0.286 0.285 0.000
0.500 0.500 0.255
0.500 0.500 0.745
0.000 0.000 0.000
0.000 0.000 0.500
```

Summary:
Energy relative to the elements, uncorrected (eV/atom): -2.32
Total moment (μB per formula unit): 1.81
ρ (g cm⁻³): 5.68
D(E_F) (states/eV/atom): 0.412


4.
This record from Alexandria describes a relaxed structure of CaZrIrO6. The functional is PBE.

POSCAR file:
```
CaZrIrO6
1.0
5.376 0.000 0.000
-2.688 4.655 0.000
0.000 0.000 10.037
O Zr Ca Ir
12 2 2 2
direct
0.023 0.649 0.859
0.351 0.373 0.859
0.977 0.351 0.141
0.649 0.023 0.359
0.649 0.627 0.141
0.373 0.023 0.141
0.977 0.627 0.359
0.351 0.977 0.641
0.023 0.373 0.641
0.373 0.351 0.359
0.627 0.649 0.641
0.627 0.977 0.859
0.667 0.333 0.750
0.333 0.667 0.250
0.000 0.000 0.500
0.000 0.000 0.000
0.333 0.667 0.750
0.667 0.333 0.250
```

Summary:
Energy relative to the elements, uncorrected (eV/atom): -2.03
Total moment (μB per formula unit): 3.03
ρ (g cm⁻³): 5.55
D(E_F) (states/eV/atom): 0.250


5.
This record from Alexandria describes a relaxed structure of CaIrOs4. The functional is PBE.

POSCAR file:
```
CaIrOs4
1.0
4.565 -1.169 2.225
0.109 -2.621 4.503
1.661 -4.938 0.101
Os Ir Ca
4 1 1
direct
0.877 0.374 0.374
0.374 0.374 0.374
0.374 0.877 0.374
0.374 0.374 0.877
0.000 0.000 0.000
0.750 0.750 0.750
```

Summary:
Energy of formation from the pure elements (kJ/mol of formula units): 330
Total moment (μB per formula unit): 0.00
ρ (g cm⁻³): 16.48
D(E_F) (states/eV/atom): 1.520


6.
This record from Alexandria describes a relaxed structure of Ca2Ir2Os. The functional is PBE.

POSCAR file:
```
Ca2Ir2Os
1.0
6.565 0.000 0.000
0.000 6.565 0.000
0.000 0.000 4.719
Ir Ca Os
4 4 2
direct
0.135 0.365 0.000
0.365 0.865 0.000
0.865 0.635 0.000
0.635 0.135 0.000
0.179 0.679 0.500
0.821 0.321 0.500
0.679 0.821 0.500
0.321 0.179 0.500
0.000 0.000 0.000
0.500 0.500 0.000
```

Summary:
Energy of formation from the pure elements (kJ/mol of formula units): -59
Total moment (μB per formula unit): 0.00
ρ (g cm⁻³): 10.69
D(E_F) (states/eV/atom): 1.180


7.
This record from Alexandria describes a relaxed structure of CaIrOs. The functional is PBE.

POSCAR file:
```
CaIrOs
1.0
5.761 -0.010 0.001
3.707 4.410 -0.001
-4.391 -2.939 2.297
Ir Ca Os
1 1 1
direct
0.289 0.289 0.000
0.999 0.999 0.000
0.712 0.712 0.000
```

Summary:
Energy of formation from the pure elements (kJ/mol of formula units): 38
Total moment (μB per formula unit): 0.00
Distance to the lowest polymorph of the same formula (meV/atom): 0
ρ (g cm⁻³): 12.01
D(E_F) (states/eV/atom): 0.878


8.
This record from Alexandria describes a relaxed structure of CaIrOs. The functional is PBE.

POSCAR file:
```
CaIrOs
1.0
4.943 0.206 -0.966
-1.960 4.542 0.966
-3.080 -1.376 5.415
Ir Os Ca
2 2 2
direct
0.000 0.000 0.500
0.500 0.500 0.500
0.762 0.996 0.758
0.238 0.004 0.242
0.264 0.642 0.906
0.736 0.358 0.094
```

Summary:
Energy of formation from the pure elements (kJ/mol of formula units): 52
Total moment (μB per formula unit): 0.00
Distance to the lowest polymorph of the same formula (meV/atom): 47
ρ (g cm⁻³): 12.35
D(E_F) (states/eV/atom): 0.920


9.
This record from Alexandria describes a relaxed structure of CaIrOs. The functional is PBE.

POSCAR file:
```
CaIrOs
1.0
2.879 0.000 0.000
-1.440 2.494 0.000
0.000 0.000 7.192
Ir Ca Os
1 1 1
direct
0.667 0.333 0.353
0.000 0.000 0.002
0.333 0.667 0.645
```

Summary:
Energy of formation from the pure elements (kJ/mol of formula units): 163
Total moment (μB per formula unit): 0.00
Distance to the lowest polymorph of the same formula (meV/atom): 430
ρ (g cm⁻³): 13.59
D(E_F) (states/eV/atom): 1.199


10.
This record from Alexandria describes a relaxed structure of CaIrOs. The functional is PBE.

POSCAR file:
```
CaIrOs
1.0
-1.164 1.980 3.816
-0.391 -2.405 3.728
2.987 0.461 3.271
Os Ir Ca
1 1 1
direct
0.500 0.500 0.500
0.000 0.000 0.000
0.750 0.750 0.750
```

Summary:
Energy of formation from the pure elements (kJ/mol of formula units): 514
Total moment (μB per formula unit): 2.26
Distance to the lowest polymorph of the same formula (meV/atom): 1641
ρ (g cm⁻³): 11.23
D(E_F) (states/eV/atom): 2.033


11.
This record from Alexandria describes a relaxed structure of CaIrOs. The functional is PBE.

POSCAR file:
```
CaIrOs
1.0
-1.640 -2.626 -3.437
4.181 -0.865 1.778
-1.172 -1.757 1.902
Ca Ir Os
1 1 1
direct
0.000 0.000 0.000
0.333 0.667 0.500
0.667 0.333 0.500
```

Summary:
Energy of formation from the pure elements (kJ/mol of formula units): 102
Total moment (μB per formula unit): 0.00
Distance to the lowest polymorph of the same formula (meV/atom): 221
ρ (g cm⁻³): 13.32
D(E_F) (states/eV/atom): 1.095


12.
This record from Alexandria describes a relaxed structure of CaIrOs. The functional is PBE.

POSCAR file:
```
CaIrOs
1.0
6.799 -0.007 0.007
6.197 2.797 0.008
0.602 0.128 2.801
Os Ir Ca
1 1 1
direct
0.687 0.687 0.313
0.314 0.314 0.686
0.999 0.999 0.001
```

Summary:
Energy of formation from the pure elements (kJ/mol of formula units): 44
Total moment (μB per formula unit): 0.00
Distance to the lowest polymorph of the same formula (meV/atom): 20
ρ (g cm⁻³): 13.14
D(E_F) (states/eV/atom): 0.719